[1]
Entry from the Alexandria database: a geometry-optimized HfTi2S6 structure (PBE).

Fermi-level density of states	0.1	states/eV/cell

abc: 6.4144 6.0587 6.0587
angles: 120.00 90.00 90.00
Element x y z (fractional)
S (0.7223, 0.0000, 0.3446)
S (0.2777, 0.6554, 0.0000)
Hf (0.5000, 0.0000, 0.0000)
Ti (0.5000, 0.3333, 0.6667)
S (0.7223, 0.3446, 0.0000)
Ti (0.5000, 0.6667, 0.3333)
S (0.2777, 0.3446, 0.3446)
S (0.7223, 0.6554, 0.6554)
S (0.2777, 0.0000, 0.6554)

=====

[2]
Entry from the Alexandria database: a geometry-optimized HfTi3S6 structure (PBE).

Fermi-level density of states	12.8	states/eV/cell

abc: 7.3585 7.3585 7.3585
angles: 92.42 92.42 92.42
Element x y z (fractional)
S (0.3156, 0.9390, 0.1270)
Ti (0.0551, 0.1877, 0.6220)
Ti (0.3780, 0.9449, 0.8123)
S (0.9390, 0.1270, 0.3156)
S (0.6844, 0.0610, 0.8730)
S (0.0610, 0.8730, 0.6844)
S (0.4239, 0.6311, 0.8131)
S (0.8131, 0.4239, 0.6311)
Ti (0.9449, 0.8123, 0.3780)
Ti (0.8123, 0.3780, 0.9449)
Ti (0.6220, 0.0551, 0.1877)
S (0.8730, 0.6844, 0.0610)
Hf (0.0000, 0.0000, 0.0000)
Hf (0.5000, 0.5000, 0.5000)
S (0.5761, 0.3689, 0.1869)
S (0.1270, 0.3156, 0.9390)
S (0.1869, 0.5761, 0.3689)
Ti (0.1877, 0.6220, 0.0551)
S (0.6311, 0.8131, 0.4239)
S (0.3689, 0.1869, 0.5761)

=====

[3]
Entry from the Alexandria database: a geometry-optimized Hf2TiS4 structure (PBE).

Fermi-level density of states	4.4	states/eV/cell

abc: 3.4650 6.1672 7.0921
angles: 115.47 104.14 90.00
Element x y z (fractional)
S (0.8809, 0.2052, 0.7617)
S (0.6227, 0.2891, 0.2455)
S (0.3773, 0.7109, 0.7545)
Hf (0.2547, 0.2439, 0.5095)
S (0.1191, 0.7948, 0.2383)
Hf (0.7453, 0.7561, 0.4905)
Ti (0.0000, 0.0000, 0.0000)

=====

[4]
Entry from the Alexandria database: a geometry-optimized HfTi4S5 structure (PBE).

Fermi-level density of states	8.0	states/eV/cell

abc: 4.9562 6.1964 6.1964
angles: 80.80 66.43 66.43
Element x y z (fractional)
S (0.5016, 0.0000, 0.0000)
S (0.2965, 0.8304, 0.5785)
S (0.1268, 0.5785, 0.1696)
S (0.7053, 0.1696, 0.4215)
Ti (0.8448, 0.7494, 0.5628)
Ti (0.5942, 0.5628, 0.2506)
Ti (0.4075, 0.4372, 0.7494)
S (0.8749, 0.4215, 0.8304)
Hf (0.0017, 0.0000, 0.0000)
Ti (0.1569, 0.2506, 0.4372)

=====

[5]
Entry from the Alexandria database: a geometry-optimized HfTi2S structure (PBE).

Fermi-level density of states	5.0	states/eV/cell

abc: 3.4650 5.1214 7.7624
angles: 90.00 90.00 109.76
Element x y z (fractional)
Ti (0.3557, 0.7114, 0.5474)
Hf (0.9495, 0.8993, 0.2500)
S (0.7647, 0.5294, 0.7500)
Ti (0.6443, 0.2886, 0.0474)
S (0.2353, 0.4706, 0.2500)
Ti (0.6443, 0.2886, 0.4526)
Hf (0.0505, 0.1007, 0.7500)
Ti (0.3557, 0.7114, 0.9526)

=====

[6]
Entry from the Alexandria database: a geometry-optimized Hf2Ti3S2 structure (PBE).

Fermi-level density of states	7.3	states/eV/cell

abc: 3.3179 5.0996 7.9139
angles: 112.53 90.00 108.98
Element x y z (fractional)
S (0.1430, 0.2860, 0.2396)
Hf (0.1542, 0.3083, 0.7961)
Hf (0.8458, 0.6917, 0.2039)
Ti (0.3780, 0.7560, 0.5451)
Ti (0.5000, 0.0000, 0.0000)
S (0.8570, 0.7140, 0.7604)
Ti (0.6220, 0.2440, 0.4549)

=====

[7]
Entry from the Alexandria database: a geometry-optimized Hf3TiS6 structure (PBE).

Fermi-level density of states	11.5	states/eV/cell

abc: 7.3857 7.3857 7.3857
angles: 88.41 88.41 88.41
Element x y z (fractional)
S (0.8820, 0.6908, 0.0810)
S (0.8208, 0.4619, 0.5920)
Hf (0.7858, 0.4105, 0.9227)
S (0.0810, 0.8820, 0.6908)
S (0.1792, 0.5381, 0.4080)
Hf (0.2142, 0.5895, 0.0773)
Ti (0.5000, 0.5000, 0.5000)
Hf (0.9227, 0.7858, 0.4105)
S (0.3092, 0.9190, 0.1180)
S (0.4619, 0.5920, 0.8208)
Ti (0.0000, 0.0000, 0.0000)
Hf (0.5895, 0.0773, 0.2142)
Hf (0.4105, 0.9227, 0.7858)
S (0.6908, 0.0810, 0.8820)
S (0.4080, 0.1792, 0.5381)
S (0.5381, 0.4080, 0.1792)
Hf (0.0773, 0.2142, 0.5895)
S (0.1180, 0.3092, 0.9190)
S (0.9190, 0.1180, 0.3092)
S (0.5920, 0.8208, 0.4619)

=====

[8]
Entry from the Alexandria database: a geometry-optimized HfTiS6 structure (PBE).

Fermi-level density of states	12.1	states/eV/cell

abc: 6.8285 6.8285 6.8285
angles: 60.00 60.00 60.00
Element x y z (fractional)
S (0.2439, 0.2439, 0.7561)
S (0.2439, 0.7561, 0.2439)
S (0.7561, 0.7561, 0.2439)
Ti (0.0000, 0.0000, 0.0000)
Hf (0.5000, 0.5000, 0.5000)
S (0.7561, 0.2439, 0.7561)
S (0.7561, 0.2439, 0.2439)
S (0.2439, 0.7561, 0.7561)

=====

[9]
Entry from the Alexandria database: a geometry-optimized HfTi3S4 structure (PBE).

Fermi-level density of states	9.2	states/eV/cell

abc: 6.5488 6.6173 7.0390
angles: 90.00 90.00 90.00
Element x y z (fractional)
S (0.5929, 0.6436, 0.7575)
Ti (0.4473, 0.2849, 0.7492)
Ti (0.5328, 0.9021, 0.0000)
S (0.6871, 0.2439, 0.5000)
S (0.0929, 0.3564, 0.7425)
Ti (0.4473, 0.2849, 0.2508)
Ti (0.9473, 0.7151, 0.2492)
Hf (0.0378, 0.0995, 0.0000)
S (0.6771, 0.2328, 0.0000)
Hf (0.5378, 0.9005, 0.5000)
Ti (0.0328, 0.0979, 0.5000)
S (0.0929, 0.3564, 0.2575)
S (0.1771, 0.7672, 0.5000)
S (0.1871, 0.7561, 0.0000)
Ti (0.9473, 0.7151, 0.7508)
S (0.5929, 0.6436, 0.2425)

=====

[10]
Entry from the Alexandria database: a geometry-optimized HfTiS structure (PBE).

Fermi-level density of states	2.6	states/eV/cell

abc: 3.2942 5.1130 6.5293
angles: 90.00 104.64 90.00
Element x y z (fractional)
Hf (0.1502, 0.2500, 0.3010)
S (0.1888, 0.7500, 0.3780)
Hf (0.8498, 0.7500, 0.6990)
Ti (0.4558, 0.2500, 0.9099)
Ti (0.5442, 0.7500, 0.0901)
S (0.8112, 0.2500, 0.6220)

=====

[11]
Entry from the Alexandria database: a geometry-optimized HfTiS3 structure (PBE).

Fermi-level density of states	14.4	states/eV/cell

abc: 4.8720 4.8720 4.8720
angles: 90.00 90.00 90.00
Element x y z (fractional)
S (0.0000, 0.0000, 0.5000)
Hf (0.0000, 0.0000, 0.0000)
Ti (0.5000, 0.5000, 0.5000)
S (0.0000, 0.5000, 0.0000)
S (0.5000, 0.0000, 0.0000)

=====

Number 1: E_form (uncorrected) -1.37 eV per atom. Number 2: E_form (uncorrected) -1.25 eV per atom. Number 3: E_form (uncorrected) -1.48 eV per atom. Number 4: E_form (uncorrected) -1.24 eV per atom. Number 5: E_form (uncorrected) -0.84 eV per atom. Number 6: E_form (uncorrected) -0.87 eV per atom. Number 7: E_form (uncorrected) -1.34 eV per atom. Number 8: E_form (uncorrected) -0.46 eV per atom. Number 9: E_form (uncorrected) -1.06 eV per atom. Number 10: E_form (uncorrected) -0.95 eV per atom. Number 11: E_form (uncorrected) -0.42 eV per atom.